[1]
## Na2PmNiH8 (GGA-PBE)

Data for a geometry-optimized Na2PmNiH8 structure.

Values from the calculation:
Raw total energy: -42.52 eV per cell

Geometry as POSCAR:
```
Na2PmNiH8
1.0
4.669 0.000 0.000
-2.334 4.043 0.000
0.000 0.000 6.213
Na Pm Ni H
2 1 1 8
Direct
0.667 0.333 0.135
0.333 0.667 0.865
0.000 0.000 0.500
0.000 0.000 0.000
0.851 0.702 0.841
0.298 0.149 0.841
0.851 0.149 0.841
0.149 0.298 0.159
0.702 0.851 0.159
0.149 0.851 0.159
0.667 0.333 0.485
0.333 0.667 0.515
```

[2]
## LiHoAl2Zn4 (GGA-PBE)

Data for a geometry-optimized LiHoAl2Zn4 structure.

Values from the calculation:
E_form: -0.24 eV/atom

Geometry as POSCAR:
```
LiHoAl2Zn4
1.0
-3.519 0.440 -2.689
-1.893 -3.606 -1.796
-6.586 -1.616 4.670
Li Ho Al Zn
1 1 2 4
Direct
0.500 0.500 0.500
0.000 0.000 0.000
0.752 0.752 0.745
0.248 0.248 0.255
0.390 0.390 0.829
0.869 0.869 0.394
0.131 0.131 0.606
0.610 0.610 0.171
```

[3]
## Rb3CeSm3S8 (GGA-PBE)

Data for a geometry-optimized Rb3CeSm3S8 structure.

Values from the calculation:
E_form (uncorrected): -1.833 eV per atom

Geometry as POSCAR:
```
Rb3CeSm3S8
1.0
8.275 0.000 0.000
-4.137 7.168 -0.028
0.000 -4.750 7.827
Rb Ce Sm S
3 1 3 8
Direct
0.000 0.000 0.000
0.000 0.500 0.000
0.500 0.500 0.000
0.000 0.000 0.500
0.500 0.000 0.500
0.500 0.500 0.500
0.000 0.500 0.500
0.269 0.537 0.306
0.731 0.463 0.694
0.775 0.549 0.312
0.225 0.451 0.688
0.775 0.038 0.312
0.225 0.962 0.688
0.263 0.038 0.312
0.737 0.962 0.688
```

[4]
## RbCeZnS4 (GGA-PBE)

Data for a geometry-optimized RbCeZnS4 structure.

Values from the calculation:
E_form (uncorrected): -1.218 eV per atom

Geometry as POSCAR:
```
RbCeZnS4
1.0
7.044 0.000 0.057
0.000 5.497 0.000
-2.684 0.000 9.208
Rb Ce Zn S
2 2 2 8
Direct
0.749 0.750 0.961
0.251 0.250 0.039
0.733 0.750 0.440
0.267 0.250 0.560
0.257 0.750 0.323
0.743 0.250 0.677
0.009 0.521 0.698
0.991 0.021 0.302
0.991 0.479 0.302
0.009 0.979 0.698
0.463 0.750 0.180
0.537 0.250 0.820
0.418 0.750 0.571
0.582 0.250 0.429
```

[5]
## PrHo6In5 (GGA-PBE)

Data for a geometry-optimized PrHo6In5 structure.

Values from the calculation:
E_form: -0.37 eV/atom

Geometry as POSCAR:
```
PrHo6In5
1.0
4.801 0.020 -1.401
-1.197 7.667 -3.993
0.046 -0.232 9.079
Pr Ho In
1 6 5
Direct
0.000 0.000 0.000
0.830 0.565 0.660
0.830 0.095 0.660
0.500 0.724 0.000
0.500 0.276 0.000
0.170 0.905 0.340
0.170 0.435 0.340
0.654 0.154 0.308
0.321 0.321 0.642
0.000 0.500 0.000
0.679 0.679 0.358
0.346 0.846 0.692
```

[6]
## TaHg2Cl (GGA-PBE)

Data for a geometry-optimized TaHg2Cl structure.

Values from the calculation:
Energy relative to the lowest polymorph listed for this composition: 493 meV/atom
E_form (uncorrected): 0.353 eV per atom

Geometry as POSCAR:
```
TaHg2Cl
1.0
5.712 0.000 0.000
0.000 3.115 -0.008
0.000 2.807 4.893
Cl Hg Ta
1 2 1
Direct
0.500 0.750 0.750
0.000 0.210 0.008
0.000 0.290 0.492
0.500 0.250 0.250
```

[7]
## CaCe2H8 (GGA-PBE)

Data for a geometry-optimized CaCe2H8 structure.

Values from the calculation:
Raw total energy: -46.59 eV per cell

Geometry as POSCAR:
```
CaCe2H8
1.0
3.706 0.000 -1.128
-0.772 4.466 -2.537
-0.012 0.733 6.611
Ca Ce H
1 2 8
Direct
0.500 0.000 0.000
0.176 0.676 0.351
0.824 0.324 0.649
0.655 0.892 0.310
0.345 0.583 0.690
0.187 0.187 0.373
0.000 0.272 0.000
0.813 0.813 0.627
0.655 0.417 0.310
0.345 0.108 0.690
0.000 0.728 0.000
```

[8]
## Na2ZnH8S2O12 (GGA-PBE)

Data for a geometry-optimized Na2ZnH8S2O12 structure.

Values from the calculation:
Raw total energy: -265.27 eV per cell

Geometry as POSCAR:
```
Na2ZnH8S2O12
1.0
-0.484 -1.463 8.226
4.258 -3.548 -0.381
8.471 7.078 1.758
Na Zn H S O
4 2 16 4 24
Direct
0.928 0.880 0.364
0.072 0.120 0.636
0.572 0.880 0.864
0.428 0.120 0.136
0.500 0.000 0.500
0.000 0.000 0.000
0.271 0.755 0.009
0.771 0.245 0.491
0.729 0.245 0.991
0.229 0.755 0.509
0.198 0.671 0.137
0.698 0.329 0.363
0.802 0.329 0.863
0.302 0.671 0.637
0.867 0.225 0.157
0.367 0.775 0.343
0.057 0.233 0.183
0.557 0.767 0.317
0.943 0.767 0.817
0.443 0.233 0.683
0.133 0.775 0.843
0.633 0.225 0.657
0.213 0.381 0.362
0.713 0.619 0.138
0.787 0.619 0.638
0.287 0.381 0.862
0.916 0.777 0.579
0.084 0.223 0.421
0.130 0.319 0.923
0.584 0.777 0.079
0.870 0.681 0.077
0.370 0.319 0.423
0.321 0.645 0.870
0.821 0.355 0.630
0.679 0.355 0.130
0.179 0.645 0.370
0.033 0.875 0.835
0.533 0.125 0.665
0.967 0.125 0.165
0.467 0.875 0.335
0.285 0.819 0.575
0.785 0.181 0.925
0.715 0.181 0.425
0.215 0.819 0.075
0.223 0.361 0.230
0.723 0.639 0.270
0.777 0.639 0.770
0.277 0.361 0.730
0.630 0.681 0.577
0.416 0.223 0.921
```

Question: Which formula does entry 1 have?
Answer: Na2PmNiH8